1.
VASP calculation (PBE) on a geometry-optimized Ti5Co2H12 structure.

Properties
The crystal system is monoclinic. The total energy comes out at -99.54 eV per formula unit. Its calculated density is 4.4 Mg/m³.

Structure (CIF):
```
data_Ti5Co2H12
_symmetry_space_group_name_H-M 'C 1 2/m 1'
_symmetry_Int_Tables_number 12
_symmetry_space_group_name_Hall '-C 2y'
_cell_length_a 9.3183
_cell_length_b 5.1163
_cell_length_c 5.9964
_cell_angle_alpha 90.00
_cell_angle_beta 104.06
_cell_angle_gamma 90.00
loop_
_atom_site_label
_atom_site_type_symbol
_atom_site_fract_x
_atom_site_fract_y
_atom_site_fract_z
Ti1 Ti 0.0000 0.0000 0.0000
Ti2 Ti 0.1791 0.5000 0.8608
Ti3 Ti 0.2216 0.5000 0.3412
Co1 Co 0.0000 0.2441 0.5000
H1 H 0.0160 0.5000 0.3196
H2 H 0.0457 0.0000 0.6861
H3 H 0.1610 0.2525 0.0928
H4 H 0.1785 0.3067 0.5874
```

2.
VASP calculation (PBE) on a geometry-optimized AlGeCl2 structure.

Properties
As for the uncorrected formation energy: 0.126 eV/atom. The crystal system is tetragonal. The value obtained for the polymorph energy (0 for the lowest one) is 50 kJ/mol of formula units. The total energy comes out at -11.55 eV per formula unit. Its calculated density is 1.7 Mg/m³.

Structure (CIF):
```
data_AlGeCl2
_symmetry_space_group_name_H-M 'I -4 2 d'
_symmetry_Int_Tables_number 122
_symmetry_space_group_name_Hall 'I -4 2bw'
_cell_length_a 7.7010
_cell_length_b 7.7010
_cell_length_c 10.9397
_cell_angle_alpha 90.00
_cell_angle_beta 90.00
_cell_angle_gamma 90.00
loop_
_atom_site_label
_atom_site_type_symbol
_atom_site_fract_x
_atom_site_fract_y
_atom_site_fract_z
Al1 Al 0.0000 0.0000 0.0000
Ge1 Ge 0.0000 0.0000 0.5000
Cl1 Cl 0.0089 0.2500 0.1250
```

3.
VASP calculation (PBE) on a geometry-optimized Ca2InI structure.

Properties
As for the uncorrected formation energy: -0.463 eV/atom. The crystal system is cubic. The value obtained for the polymorph energy (0 for the lowest one) is 110 kJ/mol of formula units. The total energy comes out at -10.14 eV per formula unit. Its calculated density is 4.2 Mg/m³.

Structure (CIF):
```
data_Ca2InI
_symmetry_space_group_name_H-M 'F m -3 m'
_symmetry_Int_Tables_number 225
_symmetry_space_group_name_Hall '-F 4 2 3'
_cell_length_a 7.9789
_cell_length_b 7.9789
_cell_length_c 7.9789
_cell_angle_alpha 90.00
_cell_angle_beta 90.00
_cell_angle_gamma 90.00
loop_
_atom_site_label
_atom_site_type_symbol
_atom_site_fract_x
_atom_site_fract_y
_atom_site_fract_z
Ca1 Ca 0.2500 0.2500 0.2500
In1 In 0.0000 0.0000 0.0000
I1 I 0.0000 0.0000 0.5000
```

4.
VASP calculation (PBE) on a geometry-optimized Tb5Dy4Y4 structure.

Properties
The energy of formation from the pure elements comes out at 0.02 eV/atom. The crystal system is tetragonal. The total energy comes out at -67.19 eV per formula unit. Its calculated density is 7.2 Mg/m³.

Structure (CIF):
```
data_Tb5Dy4Y4
_symmetry_space_group_name_H-M 'I 4/m'
_symmetry_Int_Tables_number 87
_symmetry_space_group_name_Hall '-I 4'
_cell_length_a 12.8353
_cell_length_b 12.8353
_cell_length_c 5.0231
_cell_angle_alpha 90.00
_cell_angle_beta 90.00
_cell_angle_gamma 90.00
loop_
_atom_site_label
_atom_site_type_symbol
_atom_site_fract_x
_atom_site_fract_y
_atom_site_fract_z
Tb1 Tb 0.0000 0.0000 0.0000
Tb2 Tb 0.0392 0.1917 0.5000
Dy1 Dy 0.1538 0.7694 0.0000
Y1 Y 0.0776 0.3841 0.0000
```

5.
VASP calculation (PBE) on a geometry-optimized SrTb4Sb5 structure.

Properties
As for the uncorrected formation energy: -1.062 eV/atom. The crystal system is orthorhombic. The total energy comes out at -51.43 eV per formula unit. Its calculated density is 7.0 Mg/m³.

Structure (CIF):
```
data_SrTb4Sb5
_symmetry_space_group_name_H-M 'I m m m'
_symmetry_Int_Tables_number 71
_symmetry_space_group_name_Hall '-I 2 2'
_cell_length_a 4.4370
_cell_length_b 6.3236
_cell_length_c 22.4813
_cell_angle_alpha 90.00
_cell_angle_beta 90.00
_cell_angle_gamma 90.00
loop_
_atom_site_label
_atom_site_type_symbol
_atom_site_fract_x
_atom_site_fract_y
_atom_site_fract_z
Sr1 Sr 0.0000 0.0000 0.0000
Tb1 Tb 0.0000 0.0000 0.2030
Tb2 Tb 0.0000 0.0000 0.4008
Sb1 Sb 0.0000 0.5000 0.0000
Sb2 Sb 0.0000 0.5000 0.1986
Sb3 Sb 0.0000 0.5000 0.3914
```

6.
VASP calculation (PBE) on a geometry-optimized Ho4TmRh5 structure.

Properties
The energy of formation from the pure elements comes out at -0.91 eV/atom. The crystal system is tetragonal. The total energy comes out at -68.67 eV per formula unit. Its calculated density is 11.3 Mg/m³.

Structure (CIF):
```
data_Ho4TmRh5
_symmetry_space_group_name_H-M 'P 4/m m m'
_symmetry_Int_Tables_number 123
_symmetry_space_group_name_Hall '-P 4 2'
_cell_length_a 3.3675
_cell_length_b 3.3675
_cell_length_c 17.3797
_cell_angle_alpha 90.00
_cell_angle_beta 90.00
_cell_angle_gamma 90.00
loop_
_atom_site_label
_atom_site_type_symbol
_atom_site_fract_x
_atom_site_fract_y
_atom_site_fract_z
Ho1 Ho 0.0000 0.0000 0.1004
Ho2 Ho 0.0000 0.0000 0.3010
Tm1 Tm 0.0000 0.0000 0.5000
Rh1 Rh 0.5000 0.5000 0.0000
Rh2 Rh 0.5000 0.5000 0.2008
Rh3 Rh 0.5000 0.5000 0.4019
```

7.
VASP calculation (PBE) on a geometry-optimized La2ScW structure.

Properties
The energy of formation from the pure elements comes out at 0.57 eV/atom. The crystal system is orthorhombic. The value obtained for the polymorph energy (0 for the lowest one) is 77 kJ/mol of formula units. The total energy comes out at -26.85 eV per formula unit. Its calculated density is 8.0 Mg/m³.

Structure (CIF):
```
data_La2ScW
_symmetry_space_group_name_H-M 'C m m m'
_symmetry_Int_Tables_number 65
_symmetry_space_group_name_Hall '-C 2 2'
_cell_length_a 3.5806
_cell_length_b 5.4254
_cell_length_c 10.8597
_cell_angle_alpha 90.00
_cell_angle_beta 90.00
_cell_angle_gamma 90.00
loop_
_atom_site_label
_atom_site_type_symbol
_atom_site_fract_x
_atom_site_fract_y
_atom_site_fract_z
La1 La 0.0000 0.0000 0.2123
Sc1 Sc 0.0000 0.5000 0.5000
W1 W 0.0000 0.5000 0.0000
```

8.
VASP calculation (PBE) on a geometry-optimized In2TcNi structure.

Properties
The energy of formation from the pure elements comes out at 0.33 eV/atom. The crystal system is orthorhombic. The total energy comes out at -20.30 eV per formula unit. Its calculated density is 9.2 Mg/m³.

Structure (CIF):
```
data_In2TcNi
_symmetry_space_group_name_H-M 'P m m 2'
_symmetry_Int_Tables_number 25
_symmetry_space_group_name_Hall 'P 2 -2'
_cell_length_a 2.9420
_cell_length_b 4.0967
_cell_length_c 5.7635
_cell_angle_alpha 90.00
_cell_angle_beta 90.00
_cell_angle_gamma 90.00
loop_
_atom_site_label
_atom_site_type_symbol
_atom_site_fract_x
_atom_site_fract_y
_atom_site_fract_z
In1 In 0.0000 0.0000 0.0000
In2 In 0.5000 0.5000 0.3285
Tc1 Tc 0.5000 0.5000 0.7975
Ni1 Ni 0.0000 0.0000 0.5383
```

9.
VASP calculation (PBE) on a geometry-optimized La2HfPt2 structure.

Properties
The energy of formation from the pure elements comes out at -0.86 eV/atom. The crystal system is tetragonal. The total energy comes out at -36.17 eV per formula unit. Its calculated density is 11.4 Mg/m³.

Structure (CIF):
```
data_La2HfPt2
_symmetry_space_group_name_H-M 'P 4/m b m'
_symmetry_Int_Tables_number 127
_symmetry_space_group_name_Hall '-P 4 2ab'
_cell_length_a 7.2384
_cell_length_b 7.2384
_cell_length_c 4.7087
_cell_angle_alpha 90.00
_cell_angle_beta 90.00
_cell_angle_gamma 90.00
loop_
_atom_site_label
_atom_site_type_symbol
_atom_site_fract_x
_atom_site_fract_y
_atom_site_fract_z
La1 La 0.1659 0.3341 0.0000
Hf1 Hf 0.0000 0.0000 0.5000
Pt1 Pt 0.1444 0.6444 0.5000
```

10.
VASP calculation (PBE) on a geometry-optimized Sc2IrPb2 structure.

Properties
The energy of formation from the pure elements comes out at 0.33 eV/atom. The crystal system is tetragonal. The value obtained for the polymorph energy (0 for the lowest one) is 249 kJ/mol of formula units. The total energy comes out at -27.28 eV per formula unit. Its calculated density is 9.2 Mg/m³.

Structure (CIF):
```
data_Sc2IrPb2
_symmetry_space_group_name_H-M 'I 4/m m m'
_symmetry_Int_Tables_number 139
_symmetry_space_group_name_Hall '-I 4 2'
_cell_length_a 3.9796
_cell_length_b 3.9796
_cell_length_c 15.8223
_cell_angle_alpha 90.00
_cell_angle_beta 90.00
_cell_angle_gamma 90.00
loop_
_atom_site_label
_atom_site_type_symbol
_atom_site_fract_x
_atom_site_fract_y
_atom_site_fract_z
Sc1 Sc 0.0000 0.0000 0.0892
Ir1 Ir 0.0000 0.0000 0.5000
Pb1 Pb 0.0000 0.5000 0.2500
```